Record 1
Below is ReBrO3 at its PBEsol-relaxed geometry, with properties calculated at the SCAN level.

Cell: 4.026 4.026 4.026 Å, 90.00 90.00 90.00°
Element x y z (fractional)
1 Re 0.000 0.000 0.000
2 Br 0.500 0.500 0.500
3 O 0.000 0.500 0.500
4 O 0.500 0.000 0.500
5 O 0.500 0.500 0.000

Summary:
DFT total energy: -20.42 eV per atom
Raw formation energy: 1429 meV per atom
DOS at the Fermi energy: 1.32 states/eV per cell
Calculated volume: 13.1 Å³ per atom

Record 2
Below is LiIn2CuTe4 at its PBEsol-relaxed geometry, with properties calculated at the SCAN level.

Cell: 7.700 7.700 7.700 Å, 132.07 132.07 70.12°
Element x y z (fractional)
1 Li 0.000 0.000 0.000
2 In 0.250 0.750 0.500
3 In 0.500 0.500 0.000
4 Cu 0.750 0.250 0.500
5 Te 0.096 0.131 0.485
6 Te 0.390 0.904 0.035
7 Te 0.646 0.610 0.515
8 Te 0.869 0.354 0.965

Summary:
DFT total energy: -29.66 eV per atom
Raw formation energy: -490 meV per atom
Calculated volume: 30.8 Å³ per atom

Record 3
Below is ZrAl2W at its PBEsol-relaxed geometry, with properties calculated at the SCAN level.

Cell: 5.119 5.119 5.119 Å, 138.67 129.76 67.01°
Element x y z (fractional)
1 Zr 0.000 0.000 0.000
2 Al 0.258 0.758 0.500
3 Al 0.742 0.242 0.500
4 W 0.500 0.500 0.000

Summary:
DFT total energy: -29.17 eV per atom
Formation enthalpy at 0 K: -0.79 eV/f.u.
DOS at the Fermi energy: 1.54 states/eV per cell
Calculated volume: 16.8 Å³ per atom

Record 4
Below is MgPH at its PBEsol-relaxed geometry, with properties calculated at the SCAN level.

Cell: 4.012 4.012 7.799 Å, 107.08 107.08 59.86°
Element x y z (fractional)
1 Mg 0.108 0.108 0.344
2 Mg 0.892 0.892 0.656
3 P 0.124 0.876 0.000
4 P 0.503 0.497 0.500
5 H 0.217 0.475 0.986
6 H 0.525 0.783 0.014

Summary:
DFT total energy: -6.73 eV per atom
DOS at the Fermi energy: 0.00 states/eV per cell
Calculated volume: 17.0 Å³ per atom

Record 5
Below is AlFe2Hg at its PBEsol-relaxed geometry, with properties calculated at the SCAN level.

Cell: 2.796 2.796 7.070 Å, 90.00 90.00 90.00°
Element x y z (fractional)
1 Al 0.000 0.000 0.000
2 Fe 0.500 0.500 0.221
3 Fe 0.500 0.500 0.779
4 Hg 0.000 0.000 0.500

Summary:
DFT total energy: -27.97 eV per atom
Formation enthalpy at 0 K: 0.30 eV/f.u.
DOS at the Fermi energy: 1.51 states/eV per cell
Calculated volume: 13.8 Å³ per atom

Record 6
Below is TcTe2SeN at its PBEsol-relaxed geometry, with properties calculated at the SCAN level.

Cell: 5.285 5.285 3.673 Å, 90.00 90.00 90.00°
Element x y z (fractional)
1 Tc 0.000 0.000 0.000
2 Te 0.000 0.500 0.000
3 Te 0.500 0.000 0.000
4 Se 0.500 0.500 0.500
5 N 0.000 0.000 0.500

Summary:
DFT total energy: -27.50 eV per atom
Raw formation energy: 285 meV per atom
DOS at the Fermi energy: 2.64 states/eV per cell
Calculated volume: 20.5 Å³ per atom

Record 7
Below is Al2RhAu at its PBEsol-relaxed geometry, with properties calculated at the SCAN level.

Cell: 4.802 4.802 4.258 Å, 106.06 106.06 38.47°
Element x y z (fractional)
1 Al 0.000 0.000 0.000
2 Al 0.240 0.240 0.641
3 Rh 0.732 0.732 0.118
4 Au 0.496 0.496 0.495

Summary:
DFT total energy: -30.48 eV per atom
Formation enthalpy at 0 K: -3.51 eV/f.u.
DOS at the Fermi energy: 1.25 states/eV per cell
Calculated volume: 14.6 Å³ per atom

Record 8
Below is Sc2CoHg at its PBEsol-relaxed geometry, with properties calculated at the SCAN level.

Cell: 7.689 7.689 7.689 Å, 26.08 26.08 26.08°
Element x y z (fractional)
1 Sc 0.232 0.232 0.232
2 Sc 0.768 0.768 0.768
3 Co 0.500 0.500 0.500
4 Hg 0.000 0.000 0.000

Summary:
DFT total energy: -28.70 eV per atom
Formation enthalpy at 0 K: -0.85 eV/f.u.
DOS at the Fermi energy: 2.00 states/eV per cell
Calculated volume: 19.4 Å³ per atom

Copy entry 6 word for word.
Below is TcTe2SeN at its PBEsol-relaxed geometry, with properties calculated at the SCAN level.

Cell: 5.285 5.285 3.673 Å, 90.00 90.00 90.00°
Element x y z (fractional)
1 Tc 0.000 0.000 0.000
2 Te 0.000 0.500 0.000
3 Te 0.500 0.000 0.000
4 Se 0.500 0.500 0.500
5 N 0.000 0.000 0.500

Summary:
DFT total energy: -27.50 eV per atom
Raw formation energy: 285 meV per atom
DOS at the Fermi energy: 2.64 states/eV per cell
Calculated volume: 20.5 Å³ per atom

Q: What is the DFT total energy in the second record?
A: -29.66 eV per atom

Q: Number 4 is which compound?
A: MgPH

What did the fifth record say?
Below is AlFe2Hg at its PBEsol-relaxed geometry, with properties calculated at the SCAN level.

Cell: 2.796 2.796 7.070 Å, 90.00 90.00 90.00°
Element x y z (fractional)
1 Al 0.000 0.000 0.000
2 Fe 0.500 0.500 0.221
3 Fe 0.500 0.500 0.779
4 Hg 0.000 0.000 0.500

Summary:
DFT total energy: -27.97 eV per atom
Formation enthalpy at 0 K: 0.30 eV/f.u.
DOS at the Fermi energy: 1.51 states/eV per cell
Calculated volume: 13.8 Å³ per atom